A relaxed GaSiHgF2 crystal. Source: the Alexandria database, functional GGA-PBE.

Its final energy is -18.13 eV/f.u. As for the mass density: 6.776 Mg/m³. The uncorrected formation energy comes out at -5.63 eV per formula unit. The crystal system is tetragonal. The calculated volume is 82 Å³/f.u.

The structure belongs to space group P4/mmm (No. 123); the cell edges are 3.981, 3.981 and 5.202 Å and the angles 90.00°, 90.00° and 90.00°. Symmetry generates all atoms from Ga at (0.000, 0.000, 0.000), Si at (0.000, 0.000, 0.500), Hg at (0.500, 0.500, 0.000) and F at (0.000, 0.500, 0.500).